Density functional theory data (PBE+U) for an optimized crystal structure of Ba3ZnCo2O6.

The structure belongs to space group P-3m1 (No. 164); the cell edges are 6.0176, 6.0176 and 6.8765 Å and the angles 90.00°, 90.00° and 120.00°. The asymmetric unit holds Ba at (0.0000, 0.0000, 0.0000), Ba at (0.3333, 0.6667, 0.6655), Zn at (0.0000, 0.0000, 0.5000), Co at (0.3333, 0.6667, 0.2390) and O at (0.1630, 0.3260, 0.3019).

The total energy comes out at -66.42 eV/cell. The calculation puts the density of states at the Fermi level at 0.804 states/eV per atom.